## K2CrRu (PBE)

Data for an optimized crystal structure of K2CrRu.

```
4
Lattice="5.704 0.000 0.000 0.000 4.094 0.000 0.000 0.000 4.094" Properties=species:S:1:pos:R:3 pbc="T T T"
Cr 2.852 0.000 2.047
K 0.000 0.000 0.000
K 0.000 2.047 2.047
Ru 2.852 2.047 0.000
```

Results
DOS(E_F) in states/eV/cell: 4.975
Energy relative to the elements in eV per formula unit: 5.236
Total DFT energy (no corrections) in eV/atom: -3.9646
Space-group type: No. 123
Energy relative to the lowest polymorph listed for this composition in meV per atom: 624